# MoS

MoS after structural relaxation (GGA-PBE, the Alexandria database).

Results
The volume is 19.1 Å³ per atom. As for the polymorph energy (0 for the lowest one): 481 meV per atom. The value obtained for the spin magnetization is 0.00 μB/cell. For the formation energy (no corrections), the calculation gives 0.023 eV per atom.

Cell and atoms, written as POSCAR:
```
MoS
1.0
-3.590 3.901 -0.661
-1.382 -2.072 -4.727
-3.708 -3.005 2.401
Mo S
4 4
Direct
0.500 0.000 0.500 Mo
0.000 0.500 0.500 Mo
0.000 0.000 0.000 Mo
0.500 0.500 0.000 Mo
0.250 0.250 0.250 S
0.250 0.750 0.750 S
0.750 0.250 0.750 S
0.750 0.750 0.250 S
```